Material: CdAsPbO
Method: DFT, PBE
State: relaxed

Energy above the lowest structure with this stoichiometry = 17 meV/atom
ρ = 7.408 g/cm3
Calculated total energy = -31.56 eV/cell

a b c (Å): 4.6103 6.4253 6.2135
angles (deg): 90.00 90.00 90.00
Space group Pmc2_1 (No. 26)
Asymmetric unit:
Cd (0.0000, 0.1523, 0.0000)
As (0.5000, 0.2923, 0.8676)
Pb (0.5000, 0.2696, 0.4143)
O (0.0000, 0.1754, 0.3631)